VASP calculation (PBE) on crystalline AlSiIr2 at its relaxed geometry.

Cell lengths 3.625, 3.625, 8.437 Å; angles 90.00, 90.00, 90.00 degrees
Space group I-4m2 (No. 119)
Asymmetric unit:
1 Al 0.000 0.000 0.000
2 Si 0.000 0.500 0.250
3 Ir 0.000 0.000 0.500
4 Ir 0.000 0.500 0.750

## Properties
Magnetic moment (μB per formula unit): 0.00
D(E_F) (states/eV per atom): 0.706
Formation energy (no corrections) (meV per atom): -447


VASP calculation (PBE) on crystalline AlSiIr2 at its relaxed geometry.

Cell lengths 3.228, 3.228, 5.499 Å; angles 90.00, 90.00, 90.00 degrees
Space group P4mm (No. 99)
Asymmetric unit:
1 Al 0.000 0.000 0.000
2 Si 0.500 0.500 0.718
3 Ir 0.000 0.000 0.546
4 Ir 0.500 0.500 0.182

## Properties
Magnetic moment (μB per formula unit): 0.15
D(E_F) (states/eV per atom): 0.854
Formation energy (no corrections) (meV per atom): -501


VASP calculation (PBE) on crystalline Al2SiIr at its relaxed geometry.

Cell lengths 2.923, 3.613, 5.371 Å; angles 90.00, 90.00, 90.00 degrees
Space group Pmmm (No. 47)
Asymmetric unit:
1 Al 0.000 0.000 0.248
2 Si 0.500 0.500 0.500
3 Ir 0.500 0.500 0.000

## Properties
Magnetic moment (μB per formula unit): 0.00
D(E_F) (states/eV per atom): 0.412
Formation energy (no corrections) (meV per atom): -372


VASP calculation (PBE) on crystalline Al2SiIr at its relaxed geometry.

Cell lengths 2.9332, 2.9332, 23.9763 Å; angles 90.00, 90.00, 120.00 degrees
Space group R-3m (No. 166, hexagonal axes)
Asymmetric unit:
1 Al 0.0000 0.0000 0.2474
2 Si 0.0000 0.0000 0.0000
3 Ir 0.0000 0.0000 0.5000

## Properties
Magnetic moment (μB per formula unit): 0.00
D(E_F) (states/eV per atom): 0.326
Formation energy (no corrections) (meV per atom): -243


VASP calculation (PBE) on crystalline Al2SiIr at its relaxed geometry.

Cell lengths 8.677, 2.927, 4.540 Å; angles 90.00, 95.74, 90.00 degrees
Space group Cm (No. 8)
Asymmetric unit:
1 Al 0.000 0.000 0.000
2 Al 0.241 0.000 0.731
3 Si 0.255 0.500 0.240
4 Ir 0.498 0.000 0.494

## Properties
Magnetic moment (μB per formula unit): 0.00
D(E_F) (states/eV per atom): 0.266
Formation energy (no corrections) (meV per atom): -384


VASP calculation (PBE) on crystalline AlSi3Ir at its relaxed geometry.

Cell lengths 4.672, 4.672, 4.672 Å; angles 90.00, 90.00, 90.00 degrees
Space group Pm-3m (No. 221)
Asymmetric unit:
1 Al 0.000 0.000 0.000
2 Si 0.000 0.500 0.500
3 Ir 0.500 0.500 0.500

## Properties
Magnetic moment (μB per formula unit): 0.00
D(E_F) (states/eV per atom): 0.724
Formation energy (no corrections) (meV per atom): 502


VASP calculation (PBE) on crystalline AlSiIr2 at its relaxed geometry.

Cell lengths 2.831, 2.831, 7.360 Å; angles 90.00, 90.00, 90.00 degrees
Space group P4mm (No. 99)
Asymmetric unit:
1 Al 0.000 0.000 0.000
2 Si 0.500 0.500 0.697
3 Ir 0.000 0.000 0.499
4 Ir 0.500 0.500 0.219

## Properties
Magnetic moment (μB per formula unit): 0.00
D(E_F) (states/eV per atom): 0.772
Formation energy (no corrections) (meV per atom): -229


VASP calculation (PBE) on crystalline AlSiIr2 at its relaxed geometry.

Cell lengths 2.887, 3.755, 10.902 Å; angles 90.00, 90.00, 90.00 degrees
Space group Imm2 (No. 44)
Asymmetric unit:
1 Al 0.000 0.000 0.000
2 Si 0.000 0.500 0.261
3 Ir 0.000 0.000 0.585
4 Ir 0.000 0.500 0.832

## Properties
Magnetic moment (μB per formula unit): 0.00
D(E_F) (states/eV per atom): 0.287
Formation energy (no corrections) (meV per atom): -604


VASP calculation (PBE) on crystalline AlSiIr2 at its relaxed geometry.

Cell lengths 8.997, 2.901, 4.352 Å; angles 90.00, 104.77, 90.00 degrees
Space group Cm (No. 8)
Asymmetric unit:
1 Al 0.000 0.000 0.000
2 Si 0.249 0.000 0.627
3 Ir 0.013 0.500 0.515
4 Ir 0.243 0.500 0.117

## Properties
Magnetic moment (μB per formula unit): 0.00
D(E_F) (states/eV per atom): 0.145
Formation energy (no corrections) (meV per atom): -695


VASP calculation (PBE) on crystalline Al2SiIr at its relaxed geometry.

Cell lengths 3.855, 3.855, 7.625 Å; angles 90.00, 90.00, 90.00 degrees
Space group I4/mmm (No. 139)
Asymmetric unit:
1 Al 0.000 0.500 0.250
2 Si 0.000 0.000 0.000
3 Ir 0.000 0.000 0.500

## Properties
Magnetic moment (μB per formula unit): 0.00
D(E_F) (states/eV per atom): 0.566
Formation energy (no corrections) (meV per atom): -305


VASP calculation (PBE) on crystalline Al2SiIr at its relaxed geometry.

Cell lengths 2.850, 2.850, 7.408 Å; angles 90.00, 90.00, 90.00 degrees
Space group P4mm (No. 99)
Asymmetric unit:
1 Al 0.000 0.000 0.000
2 Al 0.500 0.500 0.286
3 Si 0.500 0.500 0.730
4 Ir 0.000 0.000 0.525

## Properties
Magnetic moment (μB per formula unit): 0.00
D(E_F) (states/eV per atom): 0.326
Formation energy (no corrections) (meV per atom): -301


VASP calculation (PBE) on crystalline Sm2AlSi4Ir3 at its relaxed geometry.

Cell lengths 4.134, 4.134, 10.224 Å; angles 90.00, 90.00, 90.00 degrees
Space group P-4m2 (No. 115)
Asymmetric unit:
1 Sm 0.000 0.500 0.242
2 Al 0.000 0.000 0.500
3 Si 0.000 0.000 0.000
4 Si 0.000 0.500 0.644
5 Si 0.500 0.500 0.000
6 Ir 0.000 0.500 0.878
7 Ir 0.500 0.500 0.500

## Properties
Magnetic moment (μB per formula unit): 0.00
D(E_F) (states/eV per atom): 0.557
Formation energy (no corrections) (meV per atom): -918